# 1
VASP calculation (GGA-PBE) on In3Ga2Hg6 after structural relaxation.

Cell: 3.700 3.445 24.702 Å, 87.19 89.84 62.92°
Fractional positions:
In  0.000  0.000  0.000
In  0.734  0.734  0.809
In  0.266  0.266  0.191
Ga  0.556  0.550  0.369
Ga  0.444  0.450  0.631
Hg  0.913  0.901  0.286
Hg  0.087  0.099  0.714
Hg  0.813  0.820  0.548
Hg  0.187  0.180  0.452
Hg  0.634  0.631  0.095
Hg  0.366  0.369  0.905

Properties
Crystal system: triclinic
ΔH_f (0 K): 0.316 eV per formula unit
Space-group type: P-1, No. 2

# 2
VASP calculation (GGA-PBE) on YAsRhBr2 after structural relaxation.

Cell: 4.912 4.912 5.105 Å, 90.00 90.00 90.00°
Fractional positions:
Y  0.500  0.500  0.500
As  0.000  0.000  0.500
Rh  0.000  0.000  0.000
Br  0.000  0.500  0.000
Br  0.500  0.000  0.000

Properties
Crystal system: tetragonal
ΔE_f (raw): -0.264 eV/atom
Space-group type: P4/mmm, No. 123

# 3
VASP calculation (GGA-PBE) on Li2Ti2O after structural relaxation.

Cell: 3.345 3.345 7.709 Å, 77.47 77.47 90.00°
Fractional positions:
Li  0.430  0.430  0.139
Li  0.570  0.570  0.861
O  0.000  0.000  0.000
Ti  0.750  0.250  0.500
Ti  0.250  0.750  0.500

Properties
Crystal system: tetragonal
ΔE_f (raw): 0.254 eV/atom
Space-group type: I4/mmm, No. 139

# 4
VASP calculation (GGA-PBE) on CsPt2S after structural relaxation.

Cell: 5.571 5.571 8.278 Å, 70.34 70.34 90.00°
Fractional positions:
Cs  0.000  0.000  0.000
Cs  0.750  0.250  0.500
S  0.500  0.500  0.000
S  0.250  0.750  0.500
Pt  0.375  0.125  0.250
Pt  0.375  0.625  0.250
Pt  0.375  0.625  0.750
Pt  0.875  0.625  0.750

Properties
Crystal system: tetragonal
ΔE_f (raw): -0.499 eV/atom
Space-group type: I4_1/amd, No. 141

# 5
VASP calculation (GGA-PBE) on NbNi2Pt4 after structural relaxation.

Cell: 5.223 5.210 4.642 Å, 91.14 91.29 118.71°
Last column: magnetic moment on the atom in μB.
Fractional positions:
Nb  0.000  0.000  0.000  -0.02
Ni  0.580  0.578  0.254  0.12
Ni  0.420  0.422  0.746  0.12
Pt  0.832  0.166  0.500  0.00
Pt  0.168  0.834  0.500  0.00
Pt  0.500  0.000  0.000  0.01
Pt  0.000  0.500  0.000  0.01

Properties
Crystal system: triclinic
ΔH_f (0 K): -0.338 eV per formula unit
Space-group type: P-1, No. 2

# 6
VASP calculation (GGA-PBE) on Li3Pd4Au2 after structural relaxation.

Cell: 4.828 7.233 8.666 Å, 72.76 73.60 89.08°
Fractional positions:
Li  0.060  0.970  0.724
Li  0.392  0.301  0.055
Li  0.940  0.030  0.276
Li  0.608  0.699  0.945
Li  0.269  0.359  0.617
Li  0.731  0.641  0.383
Pd  0.497  0.085  0.836
Pd  0.943  0.191  0.950
Pd  0.503  0.915  0.164
Pd  0.057  0.809  0.050
Pd  0.605  0.860  0.618
Pd  0.842  0.417  0.163
Pd  0.395  0.140  0.382
Pd  0.158  0.583  0.837
Au  0.168  0.757  0.499
Au  0.286  0.528  0.274
Au  0.832  0.243  0.501
Au  0.714  0.472  0.726

Properties
Crystal system: triclinic
ΔH_f (0 K): -3.208 eV per formula unit
Space-group type: P-1, No. 2

# 7
VASP calculation (GGA-PBE) on BaCr2Hg after structural relaxation.

Cell: 5.169 5.169 6.242 Å, 74.68 74.68 38.20°
Fractional positions:
Ba  0.750  0.750  0.750
Cr  0.984  0.984  0.152
Cr  0.516  0.516  0.348
Hg  0.250  0.250  0.250

Properties
Crystal system: monoclinic
ΔH_f (0 K): 2.913 eV per formula unit
Space-group type: C2/m, No. 12

# 8
VASP calculation (GGA-PBE) on KUSbS5 after structural relaxation.

Cell: 7.285 7.285 10.473 Å, 107.74 107.74 100.37°
Last column: magnetic moment on the atom in μB.
Fractional positions:
K  0.336  0.664  0.250  0.00
K  0.664  0.336  0.750  0.00
U  0.000  0.000  0.500  0.15
U  0.000  0.000  0.000  0.15
Sb  0.733  0.267  0.250  0.00
Sb  0.267  0.733  0.750  0.00
S  0.019  0.981  0.250  -0.01
S  0.981  0.019  0.750  -0.01
S  0.899  0.318  0.061  -0.01
S  0.101  0.682  0.939  -0.01
S  0.682  0.101  0.439  -0.01
S  0.318  0.899  0.561  -0.01
S  0.785  0.629  0.405  -0.01
S  0.215  0.371  0.595  -0.01
S  0.371  0.215  0.095  -0.01
S  0.629  0.785  0.905  -0.01

Properties
Crystal system: monoclinic
ΔE_f (raw): -0.827 eV/atom
Space-group type: C2/c, No. 15

Ρ values, unit g cm⁻³, following the record order: 10.008; 5.749; 2.541; 8.159; 14.861; 10.095; 7.412; 3.862.